Record 1
The following is a DFT calculation (GGA-PBE) of SrPmRu after structural relaxation.

Results
ΔE_f (eV/atom): 0.0503
Energy (eV/atom): -5.19
Fermi-level density of states (states/eV per atom): 1.050

POSCAR file:
```
SrPmRu
1.0
3.577 0.000 0.000
0.000 3.577 0.000
0.000 0.000 13.825
Sr Pm Ru
2 2 2
direct
0.000 0.000 0.000 Sr
0.500 0.500 0.500 Sr
0.000 0.000 0.249 Pm
0.500 0.500 0.749 Pm
0.000 0.000 0.644 Ru
0.500 0.500 0.144 Ru
```

---

Record 2
The following is a DFT calculation (GGA-PBE) of PmTa2Ru3 after structural relaxation.

Results
ΔE_f (eV/atom): -0.3558
Energy (eV/atom): -9.74
Fermi-level density of states (states/eV per atom): 0.631

POSCAR file:
```
PmTa2Ru3
1.0
3.171 0.000 0.000
0.000 3.171 0.000
0.000 0.000 10.657
Pm Ta Ru
1 2 3
direct
0.000 0.000 0.000 Pm
0.000 0.000 0.343 Ta
0.000 0.000 0.657 Ta
0.500 0.500 0.212 Ru
0.500 0.500 0.500 Ru
0.500 0.500 0.788 Ru
```

---

Record 3
The following is a DFT calculation (GGA-PBE) of PmTaRu2 after structural relaxation.

Results
ΔE_f (eV/atom): -0.1431
Energy (eV/atom): -8.93
Fermi-level density of states (states/eV per atom): 0.597

POSCAR file:
```
PmTaRu2
1.0
6.624 0.000 0.000
0.000 6.624 0.000
0.000 0.000 6.624
Pm Ta Ru
4 4 8
direct
0.000 0.000 0.000 Pm
0.000 0.500 0.500 Pm
0.500 0.000 0.500 Pm
0.500 0.500 0.000 Pm
0.000 0.000 0.500 Ta
0.000 0.500 0.000 Ta
0.500 0.000 0.000 Ta
0.500 0.500 0.500 Ta
0.250 0.250 0.250 Ru
0.250 0.250 0.750 Ru
0.250 0.750 0.250 Ru
0.250 0.750 0.750 Ru
0.750 0.250 0.250 Ru
0.750 0.250 0.750 Ru
0.750 0.750 0.250 Ru
0.750 0.750 0.750 Ru
```

---

Record 4
The following is a DFT calculation (GGA-PBE) of PmTaRu2 after structural relaxation.

Results
ΔE_f (eV/atom): -0.3050
Energy (eV/atom): -9.09
Fermi-level density of states (states/eV per atom): 0.503

POSCAR file:
```
PmTaRu2
1.0
3.219 0.000 0.000
0.000 3.219 0.000
0.000 0.000 7.139
Pm Ta Ru
1 1 2
direct
0.000 0.000 0.000 Pm
0.000 0.000 0.500 Ta
0.500 0.500 0.291 Ru
0.500 0.500 0.709 Ru
```

---

Record 5
The following is a DFT calculation (GGA-PBE) of PmTaRu2 after structural relaxation.

Results
ΔE_f (eV/atom): -0.1115
Energy (eV/atom): -8.90
Fermi-level density of states (states/eV per atom): 0.510

POSCAR file:
```
PmTaRu2
1.0
4.729 0.000 0.000
0.000 4.729 0.000
0.000 0.000 3.265
Pm Ta Ru
1 1 2
direct
0.000 0.000 0.000 Pm
0.500 0.500 0.000 Ta
0.000 0.500 0.500 Ru
0.500 0.000 0.500 Ru
```

---

Record 6
The following is a DFT calculation (GGA-PBE) of PmTaRu after structural relaxation.

Results
ΔE_f (eV/atom): -0.2206
Energy (eV/atom): -8.85
Fermi-level density of states (states/eV per atom): 0.985

POSCAR file:
```
PmTaRu
1.0
4.501 0.000 0.000
0.000 4.501 0.000
0.000 0.000 6.722
Pm Ta Ru
2 2 2
direct
0.250 0.250 0.141 Pm
0.750 0.750 0.859 Pm
0.250 0.750 0.500 Ta
0.750 0.250 0.500 Ta
0.250 0.250 0.692 Ru
0.750 0.750 0.308 Ru
```

---

Record 7
The following is a DFT calculation (GGA-PBE) of TbPmRu4 after structural relaxation.

Results
ΔE_f (eV/atom): -0.2278
Energy (eV/atom): -7.98
Fermi-level density of states (states/eV per atom): 1.115

POSCAR file:
```
TbPmRu4
1.0
0.000 3.801 3.801
3.801 0.000 3.801
3.801 3.801 0.000
Tb Pm Ru
1 1 4
direct
0.000 0.000 0.000 Tb
0.250 0.250 0.250 Pm
0.125 0.625 0.625 Ru
0.625 0.125 0.625 Ru
0.625 0.625 0.125 Ru
0.625 0.625 0.625 Ru
```

---

Record 8
The following is a DFT calculation (GGA-PBE) of Tb3PmRu2 after structural relaxation.

Results
ΔE_f (eV/atom): -0.2005
Energy (eV/atom): -6.40
Fermi-level density of states (states/eV per atom): 0.426

POSCAR file:
```
Tb3PmRu2
1.0
-3.397 6.801 3.534
3.397 -6.801 3.534
3.397 6.801 -3.534
Tb Pm Ru
6 2 4
direct
0.012 0.750 0.262 Tb
0.250 0.250 0.000 Tb
0.488 0.750 0.738 Tb
0.512 0.250 0.262 Tb
0.750 0.750 0.000 Tb
0.988 0.250 0.738 Tb
0.000 0.500 0.500 Pm
0.500 0.000 0.500 Pm
0.134 0.223 0.357 Ru
0.366 0.723 0.089 Ru
0.634 0.277 0.911 Ru
0.866 0.777 0.643 Ru
```

---

Record 9
The following is a DFT calculation (GGA-PBE) of Tb2PmRu after structural relaxation.

Results
ΔE_f (eV/atom): -0.1987
Energy (eV/atom): -6.02
Fermi-level density of states (states/eV per atom): 0.767

POSCAR file:
```
Tb2PmRu
1.0
3.452 0.000 0.000
0.000 3.452 0.000
0.000 0.000 9.094
Tb Pm Ru
2 1 1
direct
0.000 0.000 0.181 Tb
0.000 0.000 0.819 Tb
0.500 0.500 0.500 Pm
0.500 0.500 0.000 Ru
```

---

Record 10
The following is a DFT calculation (GGA-PBE) of Tb3Pm2Ru2 after structural relaxation.

Results
ΔE_f (eV/atom): -0.2851
Energy (eV/atom): -6.28
Fermi-level density of states (states/eV per atom): 0.702

POSCAR file:
```
Tb3Pm2Ru2
1.0
12.133 0.000 0.000
0.000 3.880 0.000
-3.749 0.000 7.988
Tb Pm Ru
6 4 4
direct
0.000 0.000 0.000 Tb
0.122 0.000 0.425 Tb
0.378 0.500 0.575 Tb
0.500 0.500 0.000 Tb
0.622 0.500 0.425 Tb
0.878 0.000 0.575 Tb
0.165 0.500 0.804 Pm
0.335 0.000 0.196 Pm
0.665 0.000 0.804 Pm
0.835 0.500 0.196 Pm
0.179 0.500 0.231 Ru
0.321 0.000 0.769 Ru
0.679 0.000 0.231 Ru
0.821 0.500 0.769 Ru
```

---

Record 11
The following is a DFT calculation (GGA-PBE) of Tb2PmRu after structural relaxation.

Results
ΔE_f (eV/atom): -0.2764
Energy (eV/atom): -6.10
Fermi-level density of states (states/eV per atom): 0.881

POSCAR file:
```
Tb2PmRu
1.0
7.342 0.000 0.000
0.000 9.346 0.000
0.000 0.000 6.406
Tb Pm Ru
8 4 4
direct
0.177 0.066 0.169 Tb
0.177 0.434 0.169 Tb
0.323 0.566 0.669 Tb
0.323 0.934 0.669 Tb
0.677 0.066 0.331 Tb
0.677 0.434 0.331 Tb
0.823 0.566 0.831 Tb
0.823 0.934 0.831 Tb
0.041 0.250 0.636 Pm
0.459 0.750 0.136 Pm
0.541 0.250 0.864 Pm
0.959 0.750 0.364 Pm
0.114 0.750 0.951 Ru
0.386 0.250 0.451 Ru
0.614 0.750 0.549 Ru
0.886 0.250 0.049 Ru
```

---

Record 12
The following is a DFT calculation (GGA-PBE) of Tb2PmRu2 after structural relaxation.

Results
ΔE_f (eV/atom): -0.2256
Energy (eV/atom): -6.74
Fermi-level density of states (states/eV per atom): 0.600

POSCAR file:
```
Tb2PmRu2
1.0
3.427 0.000 0.000
0.000 20.853 0.000
0.000 0.000 3.411
Tb Pm Ru
4 2 4
direct
0.000 0.166 0.000 Tb
0.000 0.834 0.000 Tb
0.500 0.334 0.000 Tb
0.500 0.666 0.000 Tb
0.000 0.000 0.000 Pm
0.500 0.500 0.000 Pm
0.000 0.410 0.500 Ru
0.000 0.590 0.500 Ru
0.500 0.090 0.500 Ru
0.500 0.910 0.500 Ru
```